No. 1
Below is ScIrRh at its PBEsol-relaxed geometry, with properties calculated at the SCAN level.

Output
Energy relative to the elements, eV/f.u.: -1.6
Crystal system: tetragonal
M_tot, μB/cell: 0.0
E_tot, eV/atom: -40.225

Geometry as CIF:
```
data_ScIrRh
_chemical_formula_sum 'Sc1 Ir1 Rh1'
_symmetry_space_group_name_H-M 'P 1'
_symmetry_Int_Tables_number 1
_symmetry_space_group_name_Hall 'P 1'
_cell_length_a 2.8141
_cell_length_b 2.8141
_cell_length_c 6.1679
_cell_angle_alpha 103.19
_cell_angle_beta 103.19
_cell_angle_gamma 90.00
loop_
_atom_site_label
_atom_site_type_symbol
_atom_site_fract_x
_atom_site_fract_y
_atom_site_fract_z
Ir1 Ir 0.0056 0.0056 0.0112
Rh1 Rh 0.6603 0.6603 0.3205
Sc1 Sc 0.3341 0.3341 0.6683
```

No. 2
Below is ScIr2RhSe at its PBEsol-relaxed geometry, with properties calculated at the SCAN level.

Output
Crystal system: tetragonal
M_tot, μB/cell: 0.0
E_tot, eV/atom: -41.682
E_form (uncorrected), kJ/mol of formula units: 181

Geometry as CIF:
```
data_ScIr2RhSe
_chemical_formula_sum 'Sc1 Ir2 Rh1 Se1'
_symmetry_space_group_name_H-M 'P 1'
_symmetry_Int_Tables_number 1
_symmetry_space_group_name_Hall 'P 1'
_cell_length_a 4.4648
_cell_length_b 4.5582
_cell_length_c 4.5582
_cell_angle_alpha 90.00
_cell_angle_beta 90.00
_cell_angle_gamma 90.00
loop_
_atom_site_label
_atom_site_type_symbol
_atom_site_fract_x
_atom_site_fract_y
_atom_site_fract_z
Sc1 Sc 0.5000 0.5000 0.5000
Ir1 Ir 0.0000 0.0000 0.5000
Ir2 Ir 0.0000 0.5000 0.0000
Rh1 Rh 0.5000 0.0000 0.0000
Se1 Se 0.0000 0.0000 0.0000
```

No. 3
Below is Ir3RhSe at its PBEsol-relaxed geometry, with properties calculated at the SCAN level.

Output
Crystal system: cubic
M_tot, μB/cell: 0.0
E_tot, eV/atom: -51.158
E_form (uncorrected), kJ/mol of formula units: 1096

Geometry as CIF:
```
data_Ir3RhSe
_chemical_formula_sum 'Ir3 Rh1 Se1'
_symmetry_space_group_name_H-M 'P 1'
_symmetry_Int_Tables_number 1
_symmetry_space_group_name_Hall 'P 1'
_cell_length_a 4.6419
_cell_length_b 4.6419
_cell_length_c 4.6419
_cell_angle_alpha 90.00
_cell_angle_beta 90.00
_cell_angle_gamma 90.00
loop_
_atom_site_label
_atom_site_type_symbol
_atom_site_fract_x
_atom_site_fract_y
_atom_site_fract_z
Ir1 Ir 0.0000 0.5000 0.0000
Ir2 Ir 0.0000 0.0000 0.5000
Ir3 Ir 0.5000 0.0000 0.0000
Rh1 Rh 0.0000 0.0000 0.0000
Se1 Se 0.5000 0.5000 0.5000
```

No. 4
Below is IrRh2Se at its PBEsol-relaxed geometry, with properties calculated at the SCAN level.

Output
Crystal system: tetragonal
M_tot, μB/cell: 0.0
E_tot, eV/atom: -39.356
E_form (uncorrected), kJ/mol of formula units: 125

Geometry as CIF:
```
data_IrRh2Se
_chemical_formula_sum 'Ir1 Rh2 Se1'
_symmetry_space_group_name_H-M 'P 1'
_symmetry_Int_Tables_number 1
_symmetry_space_group_name_Hall 'P 1'
_cell_length_a 3.8271
_cell_length_b 3.8271
_cell_length_c 3.9008
_cell_angle_alpha 90.00
_cell_angle_beta 90.00
_cell_angle_gamma 90.00
loop_
_atom_site_label
_atom_site_type_symbol
_atom_site_fract_x
_atom_site_fract_y
_atom_site_fract_z
Ir1 Ir 0.0000 0.0000 0.5000
Rh1 Rh 0.0000 0.5000 0.0000
Rh2 Rh 0.5000 0.0000 0.0000
Se1 Se 0.5000 0.5000 0.5000
```

No. 5
Below is Ir4RhSe at its PBEsol-relaxed geometry, with properties calculated at the SCAN level.

Output
Crystal system: cubic
M_tot, μB/cell: 0.0
E_tot, eV/atom: -55.476
E_form (uncorrected), kJ/mol of formula units: 520

Geometry as CIF:
```
data_Ir4RhSe
_chemical_formula_sum 'Ir4 Rh1 Se1'
_symmetry_space_group_name_H-M 'P 1'
_symmetry_Int_Tables_number 1
_symmetry_space_group_name_Hall 'P 1'
_cell_length_a 5.1208
_cell_length_b 5.1208
_cell_length_c 5.1208
_cell_angle_alpha 60.00
_cell_angle_beta 60.00
_cell_angle_gamma 60.00
loop_
_atom_site_label
_atom_site_type_symbol
_atom_site_fract_x
_atom_site_fract_y
_atom_site_fract_z
Ir1 Ir 0.3754 0.3754 0.3754
Ir2 Ir 0.3754 0.3754 0.8737
Ir3 Ir 0.8737 0.3754 0.3754
Ir4 Ir 0.3754 0.8737 0.3754
Rh1 Rh 0.7500 0.7500 0.7500
Se1 Se 0.0000 0.0000 0.0000
```

No. 6
Below is IrRh2Se at its PBEsol-relaxed geometry, with properties calculated at the SCAN level.

Output
Crystal system: tetragonal
M_tot, μB/cell: 0.0
E_tot, eV/atom: -39.331
E_form (uncorrected), kJ/mol of formula units: 135

Geometry as CIF:
```
data_IrRh2Se
_chemical_formula_sum 'Ir1 Rh2 Se1'
_symmetry_space_group_name_H-M 'P 1'
_symmetry_Int_Tables_number 1
_symmetry_space_group_name_Hall 'P 1'
_cell_length_a 3.9411
_cell_length_b 3.9411
_cell_length_c 4.6340
_cell_angle_alpha 115.17
_cell_angle_beta 115.17
_cell_angle_gamma 90.00
loop_
_atom_site_label
_atom_site_type_symbol
_atom_site_fract_x
_atom_site_fract_y
_atom_site_fract_z
Ir1 Ir 0.2500 0.7500 0.5000
Rh1 Rh 0.0000 0.0000 0.0000
Rh2 Rh 0.7500 0.2500 0.5000
Se1 Se 0.5000 0.5000 0.0000
```

No. 7
Below is IrRhSe2 at its PBEsol-relaxed geometry, with properties calculated at the SCAN level.

Output
Crystal system: trigonal
M_tot, μB/cell: 0.0
E_tot, eV/atom: -36.359
E_form (uncorrected), kJ/mol of formula units: -39

Geometry as CIF:
```
data_IrRhSe2
_chemical_formula_sum 'Ir1 Rh1 Se2'
_symmetry_space_group_name_H-M 'P 1'
_symmetry_Int_Tables_number 1
_symmetry_space_group_name_Hall 'P 1'
_cell_length_a 3.5176
_cell_length_b 3.5176
_cell_length_c 7.3484
_cell_angle_alpha 76.15
_cell_angle_beta 76.15
_cell_angle_gamma 60.00
loop_
_atom_site_label
_atom_site_type_symbol
_atom_site_fract_x
_atom_site_fract_y
_atom_site_fract_z
Ir1 Ir 0.4940 0.4940 0.5179
Rh1 Rh 0.2566 0.2566 0.2303
Se1 Se 0.9775 0.9775 0.0675
Se2 Se 0.7719 0.7719 0.6843
```

No. 8
Below is IrRh2Se at its PBEsol-relaxed geometry, with properties calculated at the SCAN level.

Output
Crystal system: orthorhombic
M_tot, μB/cell: 0.0
E_tot, eV/atom: -39.471
E_form (uncorrected), kJ/mol of formula units: 81

Geometry as CIF:
```
data_IrRh2Se
_chemical_formula_sum 'Ir1 Rh2 Se1'
_symmetry_space_group_name_H-M 'P 1'
_symmetry_Int_Tables_number 1
_symmetry_space_group_name_Hall 'P 1'
_cell_length_a 2.8111
_cell_length_b 4.6394
_cell_length_c 4.6394
_cell_angle_alpha 109.08
_cell_angle_beta 90.00
_cell_angle_gamma 90.00
loop_
_atom_site_label
_atom_site_type_symbol
_atom_site_fract_x
_atom_site_fract_y
_atom_site_fract_z
Ir1 Ir 0.5000 0.5000 0.5000
Rh1 Rh 0.0000 0.5000 0.0000
Rh2 Rh 0.0000 0.0000 0.5000
Se1 Se 0.5000 0.0000 0.0000
```

No. 9
Below is IrRh2Se at its PBEsol-relaxed geometry, with properties calculated at the SCAN level.

Output
Crystal system: orthorhombic
M_tot, μB/cell: 0.0
E_tot, eV/atom: -39.218
E_form (uncorrected), kJ/mol of formula units: 178

Geometry as CIF:
```
data_IrRh2Se
_chemical_formula_sum 'Ir1 Rh2 Se1'
_symmetry_space_group_name_H-M 'P 1'
_symmetry_Int_Tables_number 1
_symmetry_space_group_name_Hall 'P 1'
_cell_length_a 2.7140
_cell_length_b 2.7332
_cell_length_c 9.1341
_cell_angle_alpha 90.00
_cell_angle_beta 90.00
_cell_angle_gamma 119.77
loop_
_atom_site_label
_atom_site_type_symbol
_atom_site_fract_x
_atom_site_fract_y
_atom_site_fract_z
Ir1 Ir 0.5000 0.0000 0.7560
Rh1 Rh 0.0000 0.0000 0.0018
Rh2 Rh 0.5000 0.0000 0.2498
Se1 Se 0.0000 0.0000 0.4923
```

No. 10
Below is IrRhSe2 at its PBEsol-relaxed geometry, with properties calculated at the SCAN level.

Output
Crystal system: orthorhombic
M_tot, μB/cell: 0.0
E_tot, eV/atom: -35.836
E_form (uncorrected), kJ/mol of formula units: 162

Geometry as CIF:
```
data_IrRhSe2
_chemical_formula_sum 'Ir1 Rh1 Se2'
_symmetry_space_group_name_H-M 'P 1'
_symmetry_Int_Tables_number 1
_symmetry_space_group_name_Hall 'P 1'
_cell_length_a 2.8353
_cell_length_b 2.8466
_cell_length_c 9.5834
_cell_angle_alpha 90.00
_cell_angle_beta 90.00
_cell_angle_gamma 119.87
loop_
_atom_site_label
_atom_site_type_symbol
_atom_site_fract_x
_atom_site_fract_y
_atom_site_fract_z
Ir1 Ir 0.0000 0.0000 0.5064
Rh1 Rh 0.5000 0.0000 0.7458
Se1 Se 0.0000 0.0000 0.9577
Se2 Se 0.5000 0.0000 0.2902
```

No. 11
Below is IrRhSe2 at its PBEsol-relaxed geometry, with properties calculated at the SCAN level.

Output
Crystal system: orthorhombic
M_tot, μB/cell: 0.0
E_tot, eV/atom: -35.663
E_form (uncorrected), kJ/mol of formula units: 229

Geometry as CIF:
```
data_IrRhSe2
_chemical_formula_sum 'Ir1 Rh1 Se2'
_symmetry_space_group_name_H-M 'P 1'
_symmetry_Int_Tables_number 1
_symmetry_space_group_name_Hall 'P 1'
_cell_length_a 2.8638
_cell_length_b 4.3813
_cell_length_c 4.9704
_cell_angle_alpha 90.00
_cell_angle_beta 90.00
_cell_angle_gamma 90.00
loop_
_atom_site_label
_atom_site_type_symbol
_atom_site_fract_x
_atom_site_fract_y
_atom_site_fract_z
Ir1 Ir 0.5000 0.5000 0.0000
Rh1 Rh 0.0000 0.5000 0.5000
Se1 Se 0.0000 0.0000 0.0000
Se2 Se 0.5000 0.0000 0.5000
```

No. 12
Below is IrRh2Se at its PBEsol-relaxed geometry, with properties calculated at the SCAN level.

Output
Crystal system: orthorhombic
M_tot, μB/cell: 0.0
E_tot, eV/atom: -39.320
E_form (uncorrected), kJ/mol of formula units: 139

Geometry as CIF:
```
data_IrRh2Se
_chemical_formula_sum 'Ir1 Rh2 Se1'
_symmetry_space_group_name_H-M 'P 1'
_symmetry_Int_Tables_number 1
_symmetry_space_group_name_Hall 'P 1'
_cell_length_a 2.7756
_cell_length_b 4.5500
_cell_length_c 4.5850
_cell_angle_alpha 90.00
_cell_angle_beta 90.00
_cell_angle_gamma 90.00
loop_
_atom_site_label
_atom_site_type_symbol
_atom_site_fract_x
_atom_site_fract_y
_atom_site_fract_z
Ir1 Ir 0.0000 0.5000 0.5000
Rh1 Rh 0.0000 0.0000 0.0000
Rh2 Rh 0.5000 0.0000 0.5000
Se1 Se 0.5000 0.5000 0.0000
```